Computed, not measured: a relaxed Sm5Co2O12 crystal at the PBE+U level of DFT.

Output
DFT total energy: -7.436 eV per atom

abc: 5.8656 6.8874 7.4000
angles: 105.48 90.00 115.20
Closest atoms and distances in Å follow each position.
Fractional coordinates of all 19 atoms:
Sm  0.3077  0.6155  0.6451  7 O 2.35-2.44
Sm  0.3070  0.6139  0.1633  7 O 2.35-2.42
Sm  0.0000  0.0000  0.5000  6 O 2.34-2.47
Sm  0.6930  0.3861  0.8367  7 O 2.35-2.42
Sm  0.6923  0.3845  0.3549  7 O 2.35-2.44
Co  0.7567  0.0000  0.0000  6 O 1.86-1.96
Co  0.2433  0.0000  0.0000  6 O 1.86-1.96
O  0.0009  0.0018  0.1664  2 Co 1.88
O  0.1014  0.6885  0.9237  1 Co 1.86
O  0.5870  0.6885  0.9237  1 Co 1.86
O  0.0962  0.6934  0.4219  4 Sm 2.34-2.37
O  0.5972  0.6934  0.4219  4 Sm 2.34-2.37
O  0.5004  0.0007  0.8315  2 Co 1.96
O  0.4996  0.9993  0.1685  2 Co 1.96
O  0.9038  0.3066  0.5781  4 Sm 2.34-2.37
O  0.4028  0.3066  0.5781  4 Sm 2.34-2.37
O  0.8986  0.3115  0.0763  1 Co 1.86
O  0.4130  0.3115  0.0763  1 Co 1.86
O  0.9991  0.9982  0.8336  2 Co 1.88